Here is an optimized crystal structure of ErTl4 from the Alexandria database. Energies are from GGA-PBE.

Properties
DFT formation energy	0.361	eV per atom
crystal system	cubic
M_tot	0.000	μB per formula unit
E_tot	-2.45	eV per atom

Cell lengths 5.890, 5.890, 5.890 Å; angles 90.00, 90.00, 90.00 degrees
Space group Pm-3m (No. 221)
Asymmetric unit:
Er 0.000 0.000 0.000 (multiplicity 1)
Tl 0.000 0.000 0.500 (multiplicity 3)
Tl 0.500 0.500 0.500 (multiplicity 1)